# KWIO2 | Alexandria via LeMat-Bulk | PBE+U | relaxed
data_KWIO2
_space_group_name_H-M_alt 'P 4/m m m'
_space_group_IT_number 123
_space_group_name_Hall '-P 4 2'
_cell_length_a 4.678
_cell_length_b 4.678
_cell_length_c 6.474
_cell_angle_alpha 90.00
_cell_angle_beta 90.00
_cell_angle_gamma 90.00
loop_
_atom_site_label
_atom_site_type_symbol
_atom_site_fract_x
_atom_site_fract_y
_atom_site_fract_z
K1 K 0.000 0.000 0.000
W1 W 0.500 0.500 0.500
I1 I 0.000 0.000 0.500
O1 O 0.000 0.500 0.000
# Polymorph energy (0 for the lowest one) (meV/atom): 2260.7
# V (A^3/atom): 28.34